(1)
DFT (PBE) results for a geometry-optimized Nb2Bi2Au structure.

The value obtained for the magnetic moment is 0.000 μB per formula unit. As for the electronic total energy: -6.060 eV per atom.

Unit cell a=7.610 b=7.610 c=3.870 alpha=90.00 beta=90.00 gamma=90.00
Space group P4/mbm (No. 127)
One atom of each set of equivalent atoms:
Nb1 0.137 0.363 0.000 x4
Bi1 0.159 0.659 0.500 x4
Au1 0.000 0.000 0.000 x2

(2)
DFT (PBE) results for a geometry-optimized CsNb structure.

The value obtained for the magnetic moment is 0.000 μB per formula unit. As for the electronic total energy: -4.381 eV per atom.

Unit cell a=4.533 b=16.144 c=8.229 alpha=90.00 beta=90.00 gamma=90.00
Space group Amm2 (No. 38)
One atom of each set of equivalent atoms:
Cs1 0.000 0.000 0.000 x2
Cs2 0.500 0.243 0.237 x4
Nb1 0.000 0.077 0.506 x4
Nb2 0.500 0.000 0.507 x2

(3)
DFT (PBE) results for a geometry-optimized MgFeCu2Tc structure.

The value obtained for the magnetic moment is 2.070 μB per formula unit. As for the electronic total energy: -4.907 eV per atom.

Unit cell a=4.502 b=4.502 c=4.263 alpha=90.00 beta=90.00 gamma=90.00
Space group P4/mmm (No. 123)
One atom of each set of equivalent atoms:
Mg1 0.000 0.000 0.000 x1
Fe1 0.500 0.500 0.500 x1
Cu1 0.000 0.500 0.500 x2
Tc1 0.500 0.500 0.000 x1

(4)
DFT (PBE) results for a geometry-optimized ErBe3Si3 structure.

The value obtained for the magnetic moment is 0.000 μB per formula unit. The calculation puts the uncorrected formation energy at 1.86 eV per formula unit.

Unit cell a=6.107 b=6.107 c=6.107 alpha=90.00 beta=90.00 gamma=90.00
Space group Pm-3n (No. 223)
One atom of each set of equivalent atoms:
Er1 0.000 0.000 0.000 x2
Be1 0.000 0.250 0.500 x6
Si1 0.000 0.500 0.250 x6

(5)
DFT (PBE) results for a geometry-optimized Ag5Te2Se5 structure.

The value obtained for the magnetic moment is 0.000 μB per formula unit. The calculation puts the uncorrected formation energy at 0.51 eV per formula unit.

Unit cell a=16.048 b=4.040 c=9.830 alpha=90.00 beta=104.62 gamma=90.00
Space group C2/m (No. 12)
One atom of each set of equivalent atoms:
Ag1 0.000 0.000 0.000 x2
Ag2 0.123 0.000 0.498 x4
Ag3 0.226 0.000 0.794 x4
Te1 0.000 0.500 0.201 x4
Se1 0.000 0.500 0.500 x2
Se2 0.163 0.500 0.916 x4
Se3 0.245 0.000 0.362 x4

Repeat the third record exactly.
DFT (PBE) results for a geometry-optimized MgFeCu2Tc structure.

The value obtained for the magnetic moment is 2.070 μB per formula unit. As for the electronic total energy: -4.907 eV per atom.

Unit cell a=4.502 b=4.502 c=4.263 alpha=90.00 beta=90.00 gamma=90.00
Space group P4/mmm (No. 123)
One atom of each set of equivalent atoms:
Mg1 0.000 0.000 0.000 x1
Fe1 0.500 0.500 0.500 x1
Cu1 0.000 0.500 0.500 x2
Tc1 0.500 0.500 0.000 x1